No. 1
Density functional theory data (PBE) for a geometry-optimized SrCuOF2 structure.

Output
E_form (uncorrected) in eV per atom: -2.268
Relative energy among the computed polymorphs in eV per atom: 0.000

Geometry as POSCAR:
```
SrCuOF2
1.0
-2.8939 2.8939 3.9278
2.8939 -2.8939 3.9278
2.8939 2.8939 -3.9278
Sr Cu O F
2 2 2 4
direct
0.2500 0.7500 0.5000
0.7500 0.2500 0.5000
0.0000 0.0000 0.0000
0.5000 0.5000 0.0000
0.2500 0.2500 0.0000
0.7500 0.7500 0.0000
0.1832 0.6832 0.8665
0.3168 0.1832 0.5000
0.6832 0.8168 0.5000
0.8168 0.3168 0.1335
```

***

No. 2
Density functional theory data (PBE) for a geometry-optimized LaBe2AlI structure.

Output
E_form (uncorrected) in eV per atom: 1.463

Geometry as POSCAR:
```
LaBe2AlI
1.0
5.4725 0.0000 0.0000
0.0000 5.4725 0.0000
0.0000 0.0000 6.1990
La Be Al I
1 2 1 1
direct
0.0000 0.0000 0.0000
0.0000 0.5000 0.0000
0.5000 0.0000 0.0000
0.0000 0.0000 0.5000
0.5000 0.5000 0.5000
```

***

No. 3
Density functional theory data (PBE) for a geometry-optimized GdThSnPd structure.

Output
Energy of formation in eV/atom: -0.58

Geometry as POSCAR:
```
GdThSnPd
1.0
0.0000 3.7319 3.7319
3.7319 0.0000 3.7319
3.7319 3.7319 0.0000
Gd Th Sn Pd
1 1 1 1
direct
0.0000 0.0000 0.0000
0.5000 0.5000 0.5000
0.2500 0.2500 0.2500
0.7500 0.7500 0.7500
```

***

Total energy? In order: -51.6; -10.4; -33.0 eV per cell.
Total moment? In order: 0.0; 0.0; 8.0 Bohr magnetons per cell.